No. 1
A geometry-optimized ErBeAg structure, computed with PBE.

Geometry as POSCAR:
```
ErBeAg
1.0
5.811 -1.937 0.000
5.811 1.937 0.000
-1.364 0.000 5.011
Er Be Ag
2 2 2
direct
0.118 0.118 0.318 Er
0.882 0.882 0.682 Er
0.232 0.232 0.884 Be
0.768 0.768 0.116 Be
0.406 0.406 0.241 Ag
0.594 0.594 0.759 Ag
```

Summary:
* energy of formation: -2.3 kcal/mol of atoms
* spin magnetization: 0.00 μB per formula unit
* space-group type: No. 12

No. 2
A geometry-optimized ErLuBeAg structure, computed with PBE.

Geometry as POSCAR:
```
ErLuBeAg
1.0
0.000 3.491 3.491
3.491 0.000 3.491
3.491 3.491 0.000
Er Lu Be Ag
1 1 1 1
direct
0.000 0.000 0.000 Er
0.500 0.500 0.500 Lu
0.250 0.250 0.250 Be
0.750 0.750 0.750 Ag
```

Summary:
* energy of formation: -2.0 kcal/mol of atoms
* spin magnetization: 0.00 μB per formula unit
* space-group type: No. 216

No. 3
A geometry-optimized NdErBeAg structure, computed with PBE.

Geometry as POSCAR:
```
NdErBeAg
1.0
0.000 3.594 3.594
3.594 0.000 3.594
3.594 3.594 0.000
Nd Er Be Ag
1 1 1 1
direct
0.000 0.000 0.000 Nd
0.500 0.500 0.500 Er
0.750 0.750 0.750 Be
0.250 0.250 0.250 Ag
```

Summary:
* energy of formation: -0.5 kcal/mol of atoms
* spin magnetization: 0.00 μB per formula unit
* space-group type: No. 216

No. 4
A geometry-optimized PrErBeAg structure, computed with PBE.

Geometry as POSCAR:
```
PrErBeAg
1.0
0.000 3.609 3.609
3.609 0.000 3.609
3.609 3.609 0.000
Pr Er Be Ag
1 1 1 1
direct
0.000 0.000 0.000 Pr
0.500 0.500 0.500 Er
0.750 0.750 0.750 Be
0.250 0.250 0.250 Ag
```

Summary:
* energy of formation: -0.3 kcal/mol of atoms
* spin magnetization: 0.00 μB per formula unit
* space-group type: No. 216

No. 5
A geometry-optimized Er2Be3AgPt4 structure, computed with PBE.

Geometry as POSCAR:
```
Er2Be3AgPt4
1.0
3.957 0.000 0.000
0.000 3.957 0.000
0.000 0.000 10.481
Er Be Ag Pt
2 3 1 4
direct
0.000 0.500 0.236 Er
0.500 0.000 0.764 Er
0.000 0.500 0.886 Be
0.500 0.000 0.114 Be
0.500 0.500 0.500 Be
0.000 0.000 0.500 Ag
0.000 0.000 0.000 Pt
0.000 0.500 0.671 Pt
0.500 0.000 0.329 Pt
0.500 0.500 0.000 Pt
```

Summary:
* energy of formation: -18.5 kcal/mol of atoms
* spin magnetization: 0.00 μB per formula unit
* space-group type: No. 115

No. 6
A geometry-optimized SmErBeAg structure, computed with PBE.

Geometry as POSCAR:
```
SmErBeAg
1.0
0.000 3.569 3.569
3.569 0.000 3.569
3.569 3.569 0.000
Sm Er Be Ag
1 1 1 1
direct
0.000 0.000 0.000 Sm
0.500 0.500 0.500 Er
0.750 0.750 0.750 Be
0.250 0.250 0.250 Ag
```

Summary:
* energy of formation: -1.0 kcal/mol of atoms
* spin magnetization: 0.00 μB per formula unit
* space-group type: No. 216

No. 7
A geometry-optimized ErTmBeAg structure, computed with PBE.

Geometry as POSCAR:
```
ErTmBeAg
1.0
0.000 3.503 3.503
3.503 0.000 3.503
3.503 3.503 0.000
Er Tm Be Ag
1 1 1 1
direct
0.000 0.000 0.000 Er
0.500 0.500 0.500 Tm
0.250 0.250 0.250 Be
0.750 0.750 0.750 Ag
```

Summary:
* energy of formation: -1.9 kcal/mol of atoms
* spin magnetization: 0.00 μB per formula unit
* space-group type: No. 216

No. 8
A geometry-optimized YErBeAg structure, computed with PBE.

Geometry as POSCAR:
```
YErBeAg
1.0
0.000 3.533 3.533
3.533 0.000 3.533
3.533 3.533 0.000
Y Er Be Ag
1 1 1 1
direct
0.000 0.000 0.000 Y
0.500 0.500 0.500 Er
0.750 0.750 0.750 Be
0.250 0.250 0.250 Ag
```

Summary:
* energy of formation: -1.7 kcal/mol of atoms
* spin magnetization: 0.00 μB per formula unit
* space-group type: No. 216

No. 9
A geometry-optimized EuBeAg3 structure, computed with PBE.

Geometry as POSCAR:
```
EuBeAg3
1.0
4.693 0.000 0.000
0.000 4.693 0.000
0.000 0.000 4.693
Eu Be Ag
1 1 3
direct
0.000 0.000 0.000 Eu
0.500 0.500 0.500 Be
0.000 0.500 0.500 Ag
0.500 0.000 0.500 Ag
0.500 0.500 0.000 Ag
```

Summary:
* energy of formation: -0.7 kcal/mol of atoms
* spin magnetization: 7.09 μB per formula unit
* space-group type: No. 221

No. 10
A geometry-optimized BeAgF3 structure, computed with PBE.

Geometry as POSCAR:
```
BeAgF3
1.0
4.326 0.000 0.000
0.000 4.326 0.000
0.000 0.000 4.326
Be Ag F
1 1 3
direct
0.000 0.000 0.000 Be
0.500 0.500 0.500 Ag
0.000 0.500 0.500 F
0.500 0.000 0.500 F
0.500 0.500 0.000 F
```

Summary:
* energy above the lowest structure with this stoichiometry: 1826 meV/atom
* spin magnetization: 0.99 μB per formula unit
* space-group type: No. 221
* formation energy (no corrections): -0.52 eV/atom

No. 11
A geometry-optimized Be2AgF structure, computed with PBE.

Geometry as POSCAR:
```
Be2AgF
1.0
0.000 2.913 2.913
2.913 0.000 2.913
2.913 2.913 0.000
Be Ag F
2 1 1
direct
0.250 0.250 0.250 Be
0.750 0.750 0.750 Be
0.000 0.000 0.000 Ag
0.500 0.500 0.500 F
```

Summary:
* energy above the lowest structure with this stoichiometry: 614 meV/atom
* spin magnetization: 0.00 μB per formula unit
* space-group type: No. 225
* formation energy (no corrections): 0.18 eV/atom

No. 12
A geometry-optimized BeAgF4 structure, computed with PBE.

Geometry as POSCAR:
```
BeAgF4
1.0
3.775 0.000 0.000
-0.552 4.309 0.000
-1.442 -1.619 5.149
Be Ag F
1 1 4
direct
0.000 0.000 0.000 Be
0.500 0.000 0.500 Ag
0.073 0.212 0.305 F
0.303 0.785 0.089 F
0.697 0.215 0.911 F
0.927 0.788 0.695 F
```

Summary:
* spin magnetization: 0.00 μB per formula unit
* space-group type: No. 2
* formation energy (no corrections): -1.94 eV/atom

No. 13
A geometry-optimized BeAgF3 structure, computed with PBE.

Geometry as POSCAR:
```
BeAgF3
1.0
5.165 -5.195 0.000
5.165 5.195 0.000
-0.510 0.000 4.901
Be Ag F
4 4 12
direct
0.128 0.287 0.262 Be
0.287 0.128 0.762 Be
0.713 0.872 0.238 Be
0.872 0.713 0.738 Be
0.208 0.792 0.250 Ag
0.396 0.604 0.750 Ag
0.604 0.396 0.250 Ag
0.792 0.208 0.750 Ag
0.068 0.661 0.828 F
0.128 0.195 0.549 F
0.195 0.128 0.049 F
0.267 0.447 0.286 F
0.339 0.932 0.672 F
0.447 0.267 0.786 F
0.553 0.733 0.214 F
0.661 0.068 0.328 F
0.733 0.553 0.714 F
0.805 0.872 0.951 F
0.872 0.805 0.451 F
0.932 0.339 0.172 F
```

Summary:
* energy above the lowest structure with this stoichiometry: 0 meV/atom
* spin magnetization: 0.06 μB per formula unit
* space-group type: No. 15
* formation energy (no corrections): -2.35 eV/atom

No. 14
A geometry-optimized BeAgF2 structure, computed with PBE.

Geometry as POSCAR:
```
BeAgF2
1.0
1.500 0.866 9.687
-1.500 0.866 9.687
0.000 -1.732 9.687
Be Ag F
1 1 2
direct
0.000 0.000 0.000 Be
0.500 0.500 0.500 Ag
0.047 0.047 0.047 F
0.953 0.953 0.953 F
```

Summary:
* energy above the lowest structure with this stoichiometry: 444 meV/atom
* spin magnetization: 0.00 μB per formula unit
* space-group type: No. 166
* formation energy (no corrections): -1.62 eV/atom

No. 15
A geometry-optimized Be3AgF structure, computed with PBE.

Geometry as POSCAR:
```
Be3AgF
1.0
4.397 0.000 0.000
0.000 4.397 0.000
0.000 0.000 4.397
Be Ag F
3 1 1
direct
0.000 0.000 0.500 Be
0.000 0.500 0.000 Be
0.500 0.000 0.000 Be
0.000 0.000 0.000 Ag
0.500 0.500 0.500 F
```

Summary:
* energy above the lowest structure with this stoichiometry: 616 meV/atom
* spin magnetization: 0.00 μB per formula unit
* space-group type: No. 221
* formation energy (no corrections): 0.64 eV/atom

No. 16
A geometry-optimized Be2AgF structure, computed with PBE.

Geometry as POSCAR:
```
Be2AgF
1.0
-2.670 2.670 3.228
2.670 -2.670 3.228
2.670 2.670 -3.228
Be Ag F
4 2 2
direct
0.043 0.125 0.418 Be
0.375 0.957 0.082 Be
0.707 0.625 0.582 Be
0.875 0.293 0.918 Be
0.250 0.750 0.500 Ag
0.500 0.500 0.000 Ag
0.000 0.000 0.000 F
0.750 0.250 0.500 F
```

Summary:
* energy above the lowest structure with this stoichiometry: 0 meV/atom
* spin magnetization: 0.00 μB per formula unit
* space-group type: No. 122
* formation energy (no corrections): -0.43 eV/atom

No. 17
A geometry-optimized BeAgF2 structure, computed with PBE.

Geometry as POSCAR:
```
BeAgF2
1.0
1.348 0.778 9.320
-1.348 0.778 9.320
0.000 -1.556 9.320
Be Ag F
1 1 2
direct
0.000 0.000 0.000 Be
0.500 0.500 0.500 Ag
0.365 0.365 0.365 F
0.635 0.635 0.635 F
```

Summary:
* energy above the lowest structure with this stoichiometry: 0 meV/atom
* spin magnetization: 0.00 μB per formula unit
* space-group type: No. 166
* formation energy (no corrections): -2.07 eV/atom

No. 18
A geometry-optimized BeAgF3 structure, computed with PBE.

Geometry as POSCAR:
```
BeAgF3
1.0
3.685 0.000 0.000
0.000 3.685 0.000
0.000 0.000 3.685
Be Ag F
1 1 3
direct
0.000 0.000 0.000 Be
0.500 0.500 0.500 Ag
0.000 0.000 0.500 F
0.000 0.500 0.000 F
0.500 0.000 0.000 F
```

Summary:
* energy above the lowest structure with this stoichiometry: 267 meV/atom
* spin magnetization: 0.00 μB per formula unit
* space-group type: No. 221
* formation energy (no corrections): -2.08 eV/atom

No. 19
A geometry-optimized BeAgF2 structure, computed with PBE.

Geometry as POSCAR:
```
BeAgF2
1.0
0.000 3.712 3.712
3.712 0.000 3.712
3.712 3.712 0.000
Be Ag F
2 2 4
direct
0.125 0.125 0.125 Be
0.875 0.875 0.875 Be
0.375 0.375 0.375 Ag
0.625 0.625 0.625 Ag
0.000 0.000 0.000 F
0.000 0.000 0.500 F
0.000 0.500 0.000 F
0.500 0.000 0.000 F
```

Summary:
* energy above the lowest structure with this stoichiometry: 133 meV/atom
* spin magnetization: 0.00 μB per formula unit
* space-group type: No. 227
* formation energy (no corrections): -1.93 eV/atom

No. 20
A geometry-optimized BeAg5F8 structure, computed with PBE.

Geometry as POSCAR:
```
BeAg5F8
1.0
-3.988 3.988 3.693
3.988 -3.988 3.693
3.988 3.988 -3.693
Be Ag F
1 5 8
direct
0.000 0.000 0.000 Be
0.112 0.571 0.987 Ag
0.250 0.750 0.500 Ag
0.429 0.416 0.541 Ag
0.584 0.125 0.013 Ag
0.875 0.888 0.459 Ag
0.280 0.095 0.148 F
0.310 0.138 0.667 F
0.357 0.690 0.828 F
0.471 0.643 0.333 F
0.862 0.529 0.172 F
0.868 0.720 0.815 F
0.905 0.053 0.185 F
0.947 0.132 0.852 F
```

Summary:
* spin magnetization: 0.80 μB per formula unit
* space-group type: No. 82
* formation energy (no corrections): -1.47 eV/atom

No. 21
A geometry-optimized BeAgF2 structure, computed with PBE.

Geometry as POSCAR:
```
BeAgF2
1.0
0.000 2.894 2.894
2.894 0.000 2.894
2.894 2.894 0.000
Be Ag F
1 1 2
direct
0.000 0.000 0.000 Be
0.500 0.500 0.500 Ag
0.250 0.250 0.250 F
0.750 0.750 0.750 F
```

Summary:
* energy above the lowest structure with this stoichiometry: 1392 meV/atom
* spin magnetization: 0.00 μB per formula unit
* space-group type: No. 225
* formation energy (no corrections): -0.67 eV/atom

No. 22
A geometry-optimized Be2AgF6 structure, computed with PBE.

Geometry as POSCAR:
```
Be2AgF6
1.0
4.907 -4.645 0.000
4.907 4.645 0.000
-1.154 0.000 5.158
Be Ag F
4 2 12
direct
0.127 0.269 0.220 Be
0.269 0.127 0.720 Be
0.731 0.873 0.280 Be
0.873 0.731 0.780 Be
0.377 0.623 0.750 Ag
0.623 0.377 0.250 Ag
0.074 0.607 0.797 F
0.139 0.144 0.450 F
0.144 0.139 0.950 F
0.306 0.420 0.291 F
0.393 0.926 0.703 F
0.420 0.306 0.791 F
0.580 0.694 0.209 F
0.607 0.074 0.297 F
0.694 0.580 0.709 F
0.856 0.861 0.050 F
0.861 0.856 0.550 F
0.926 0.393 0.203 F
```

Summary:
* spin magnetization: 1.01 μB per formula unit
* space-group type: No. 15
* formation energy (no corrections): -2.51 eV/atom

No. 23
A geometry-optimized Be3AgF structure, computed with PBE.

Geometry as POSCAR:
```
Be3AgF
1.0
3.752 0.000 0.000
0.000 3.752 0.000
0.000 0.000 3.752
Be Ag F
3 1 1
direct
0.000 0.000 0.500 Be
0.000 0.500 0.000 Be
0.500 0.000 0.000 Be
0.500 0.500 0.500 Ag
0.000 0.000 0.000 F
```

Summary:
* energy above the lowest structure with this stoichiometry: 0 meV/atom
* spin magnetization: 0.00 μB per formula unit
* space-group type: No. 221
* formation energy (no corrections): 0.03 eV/atom

No. 24
A geometry-optimized BeAg4F6 structure, computed with PBE.

Geometry as POSCAR:
```
BeAg4F6
1.0
4.499 -3.497 0.000
4.499 3.497 0.000
-3.481 0.000 10.249
Be Ag F
2 8 12
direct
0.236 0.764 0.500 Be
0.764 0.236 0.000 Be
0.019 0.670 0.922 Ag
0.223 0.998 0.810 Ag
0.314 0.518 0.186 Ag
0.488 0.824 0.056 Ag
0.518 0.314 0.686 Ag
0.670 0.019 0.422 Ag
0.824 0.488 0.556 Ag
0.998 0.223 0.310 Ag
0.014 0.881 0.574 F
0.092 0.402 0.736 F
0.148 0.819 0.359 F
0.296 0.477 0.492 F
0.402 0.092 0.236 F
0.466 0.879 0.577 F
0.477 0.296 0.992 F
0.561 0.686 0.849 F
0.686 0.561 0.349 F
0.819 0.148 0.859 F
0.879 0.466 0.077 F
0.881 0.014 0.074 F
```

Summary:
* spin magnetization: 0.00 μB per formula unit
* space-group type: No. 9
* formation energy (no corrections): -1.60 eV/atom

No. 25
A geometry-optimized BeAg3F5 structure, computed with PBE.

Geometry as POSCAR:
```
BeAg3F5
1.0
-3.255 3.255 5.672
3.255 -3.255 5.672
3.255 3.255 -5.672
Be Ag F
2 6 10
direct
0.250 0.750 0.500 Be
0.750 0.250 0.500 Be
0.166 0.666 0.832 Ag
0.250 0.250 0.000 Ag
0.334 0.166 0.500 Ag
0.666 0.834 0.500 Ag
0.750 0.750 0.000 Ag
0.834 0.334 0.168 Ag
0.000 0.000 0.000 F
0.031 0.803 0.500 F
0.197 0.697 0.228 F
0.303 0.531 0.500 F
0.469 0.969 0.772 F
0.500 0.500 0.000 F
0.531 0.031 0.228 F
0.697 0.469 0.500 F
0.803 0.303 0.772 F
0.969 0.197 0.500 F
```

Summary:
* spin magnetization: 0.00 μB per formula unit
* space-group type: No. 140
* formation energy (no corrections): -1.73 eV/atom

| no. | electronic total energy (eV per atom) | theoretical density (kg/m³) |
| --- | --- | --- |
| 1 | -3.812 | 8363 |
| 2 | -4.001 | 8963 |
| 3 | -4.001 | 7663 |
| 4 | -3.991 | 7508 |
| 5 | -5.535 | 12646 |
| 6 | -4.007 | 7934 |
| 7 | -3.985 | 8754 |
| 8 | -4.477 | 7022 |
| 9 | -4.543 | 7787 |
| 10 | -2.962 | 3566 |
| 11 | -2.860 | 4865 |
| 12 | -4.282 | 3824 |
| 13 | -4.788 | 4391 |
| 14 | -4.203 | 3408 |
| 15 | -2.538 | 3007 |
| 16 | -3.474 | 5228 |
| 17 | -4.647 | 4387 |
| 18 | -4.521 | 5771 |
| 19 | -4.514 | 5029 |
| 20 | -3.824 | 4949 |
| 21 | -3.254 | 5308 |
| 22 | -4.902 | 3388 |
| 23 | -3.154 | 4838 |
| 24 | -3.992 | 5710 |
| 25 | -4.130 | 5908 |